VASP calculation (PBE) on LaTiAlV after structural relaxation.

Calculated values
Its density of states at the Fermi level is 5.2 states/eV per cell. For the energy above the most stable polymorph in this dataset, the calculation gives 0.092 eV/atom. Its formation energy from the elements is 0.549 eV per formula unit. As for the symmetry: P4mm (99). The calculation puts the volume at 84.3 Å³/cell.

Lattice parameters (Å, degrees): 3.524 3.525 6.785 90.00 90.05 90.00
Sites, in units of the cell vectors:
Al1 0.938 0.000 0.944
V1 0.438 0.500 0.086
La1 0.937 0.000 0.417
Ti1 0.437 0.500 0.770